Run P
DFT (PBE-GGA) results for a relaxed structure of SrY2Au.

Structure (extended XYZ):
```
4
Lattice="10.509 -0.020 -0.012 9.795 3.805 -0.012 9.795 1.826 3.339" Properties=species:S:1:pos:R:3 pbc="T T T"
Au 15.241 2.841 1.678
Sr 23.076 4.302 2.541
Y 29.872 5.568 3.289
Y 7.059 1.316 0.777
```

Values from the calculation:
**N(E_F)**: 1.2601 states/eV per atom
**Crystal system**: trigonal
**Total magnetization**: 0.58 μB per formula unit

Run Q
DFT (PBE-GGA) results for a relaxed structure of SrY2Au.

Structure (extended XYZ):
```
4
Lattice="-0.383 -3.667 0.309 3.335 -0.213 1.606 -0.599 0.900 9.926" Properties=species:S:1:pos:R:3 pbc="T T T"
Sr 2.065 -1.376 8.366
Au 1.502 0.306 5.482
Y 0.298 -1.606 3.452
Y 3.192 -0.172 1.912
```

Values from the calculation:
**N(E_F)**: 1.1680 states/eV per atom
**Crystal system**: tetragonal
**Total magnetization**: 0.89 μB per formula unit

Run R
DFT (PBE-GGA) results for a relaxed structure of SrY2Au.

Structure (extended XYZ):
```
4
Lattice="5.510 0.000 0.000 2.755 4.772 0.000 2.755 1.591 4.499" Properties=species:S:1:pos:R:3 pbc="T T T"
Y 2.755 1.591 1.125
Y 0.000 0.000 0.000
Au 5.510 3.181 2.249
Sr 8.265 4.772 3.374
```

Values from the calculation:
**N(E_F)**: 1.0354 states/eV per atom
**Crystal system**: cubic
**Total magnetization**: 0.00 μB per formula unit

Run S
DFT (PBE-GGA) results for a relaxed structure of SrY2Au.

Structure (extended XYZ):
```
4
Lattice="6.240 0.002 0.000 2.697 5.627 0.000 -4.468 -2.814 3.324" Properties=species:S:1:pos:R:3 pbc="T T T"
Sr 3.120 0.001 1.662
Y 1.348 2.814 1.662
Y 0.000 0.000 0.000
Au 4.468 2.814 0.000
```

Values from the calculation:
**N(E_F)**: 1.4142 states/eV per atom
**Crystal system**: tetragonal
**Total magnetization**: 0.00 μB per formula unit

Taking the most stable structure as the zero point, the relative energies in meV/atom are run P 133; run Q 0; run R 367; run S 305.

Run P
DFT (PBE-GGA) results for a relaxed structure of SrY2Au.

Structure (extended XYZ):
```
4
Lattice="-1.318 -6.549 1.771 1.930 -6.636 0.042 2.516 -1.669 4.810" Properties=species:S:1:pos:R:3 pbc="T T T"
Au 0.782 -3.713 1.656
Sr 2.346 -11.140 4.967
Y 0.710 -12.593 1.966
Y 1.466 -8.018 3.157
```

Values from the calculation:
**N(E_F)**: 1.1225 states/eV per atom
**Crystal system**: orthorhombic
**Total magnetization**: 0.00 μB per formula unit

Run Q
DFT (PBE-GGA) results for a relaxed structure of SrY2Au.

Structure (extended XYZ):
```
4
Lattice="-2.443 4.070 -3.167 -4.221 -3.058 4.268 -0.264 2.301 2.762" Properties=species:S:1:pos:R:3 pbc="T T T"
Y 0.000 0.000 0.000
Y -1.353 3.185 -0.203
Sr -3.332 0.506 0.550
Au -2.242 -0.379 3.515
```

Values from the calculation:
**N(E_F)**: 1.2751 states/eV per atom
**Crystal system**: monoclinic
**Total magnetization**: 0.00 μB per formula unit

Taking the most stable structure as the zero point, the relative energies in meV/atom are run P 0; run Q 332.